1.
## Rb2AlSiI6 (GGA-PBE)

Data for a relaxed Rb2AlSiI6 crystal.

Unit cell a=8.260 b=8.260 c=8.244 alpha=59.93 beta=59.93 gamma=90.00
Atoms (fractional coordinates):
I  0.749  0.749  0.000
I  0.252  0.252  0.496
I  0.748  0.748  0.504
I  0.251  0.749  0.000
I  0.251  0.251  0.000
I  0.749  0.251  0.000
Si  0.000  0.000  0.000
Rb  0.250  0.750  0.500
Rb  0.750  0.250  0.500
Al  0.500  0.500  0.000

Formation energy (no corrections)   -0.7202 eV/atom
Symmetry   I4/mmm
VASP energy   -27.603 eV per cell
Magnetic moment   0.00 μB/f.u.

2.
## Mg3TcO (GGA-PBE)

Data for a relaxed Mg3TcO crystal.

Unit cell a=5.104 b=5.104 c=5.104 alpha=90.00 beta=90.00 gamma=90.00
Atoms (fractional coordinates):
O  0.500  0.500  0.500
Tc  0.000  0.000  0.000
Mg  0.000  0.500  0.000
Mg  0.500  0.000  0.000
Mg  0.000  0.000  0.500

Formation energy (no corrections)   1.1081 eV/atom
Symmetry   Pm-3m
Energy relative to the lowest polymorph listed for this composition   8.173 eV per formula unit
VASP energy   -14.567 eV per cell
Magnetic moment   3.05 μB/f.u.

3.
## Hf3MgBr (GGA-PBE)

Data for a relaxed Hf3MgBr crystal.

Unit cell a=4.951 b=4.951 c=4.951 alpha=90.00 beta=90.00 gamma=90.00
Atoms (fractional coordinates):
Mg  0.500  0.500  0.500
Hf  0.000  0.500  0.000
Hf  0.500  0.000  0.000
Hf  0.000  0.000  0.500
Br  0.000  0.000  0.000

Formation energy (no corrections)   0.5829 eV/atom
Symmetry   Pm-3m
Energy relative to the lowest polymorph listed for this composition   0.000 eV per formula unit
VASP energy   -30.213 eV per cell
Magnetic moment   0.00 μB/f.u.

4.
## InHg2 (GGA-PBE)

Data for a relaxed InHg2 crystal.

Unit cell a=9.786 b=9.786 c=9.786 alpha=60.00 beta=60.00 gamma=60.00
Atoms (fractional coordinates):
Hg  0.694  0.056  0.194
Hg  0.306  0.944  0.806
Hg  0.500  0.000  0.000
Hg  0.500  0.500  0.500
Hg  0.500  0.500  0.000
Hg  0.056  0.056  0.194
Hg  0.306  0.306  0.444
Hg  0.694  0.694  0.556
Hg  0.056  0.694  0.556
Hg  0.056  0.694  0.194
Hg  0.306  0.944  0.444
Hg  0.000  0.500  0.000
Hg  0.694  0.056  0.556
Hg  0.944  0.306  0.444
Hg  0.944  0.306  0.806
Hg  0.944  0.944  0.806
In  0.718  0.718  0.846
In  0.718  0.718  0.218
In  0.282  0.654  0.782
In  0.654  0.282  0.782
In  0.718  0.346  0.218
In  0.346  0.718  0.218
In  0.282  0.282  0.154
In  0.282  0.282  0.782

DFT formation energy   22 meV per atom
Symmetry   Fd-3m
VASP energy   -26.204 eV per cell
Magnetic moment   0.00 μB/f.u.

5.
## FePOs2 (GGA-PBE)

Data for a relaxed FePOs2 crystal.

Unit cell a=5.265 b=5.265 c=6.378 alpha=65.62 beta=65.62 gamma=90.00
Atoms (fractional coordinates):
Os  0.375  0.371  0.750
Os  0.629  0.125  0.250
Os  0.875  0.879  0.750
Os  0.121  0.625  0.250
P  0.500  0.500  0.000
P  0.250  0.750  0.500
Fe  0.000  0.000  0.000
Fe  0.750  0.250  0.500

DFT formation energy   700 meV per atom
Symmetry   I-42d
VASP energy   -67.064 eV per cell
Magnetic moment   0.00 μB/f.u.

6.
## MgRu2Se (GGA-PBE)

Data for a relaxed MgRu2Se crystal.

Unit cell a=2.951 b=2.951 c=8.278 alpha=90.00 beta=90.00 gamma=116.39
Atoms (fractional coordinates):
Ru  0.000  0.000  0.020
Ru  0.000  0.000  0.480
Mg  0.500  0.500  0.750
Se  0.500  0.500  0.250

Formation energy (no corrections)   0.4032 eV/atom
Symmetry   Cmmm
Energy relative to the lowest polymorph listed for this composition   1.471 eV per formula unit
VASP energy   -22.018 eV per cell
Magnetic moment   0.00 μB/f.u.

Please write out number 2 again, unchanged.
## Mg3TcO (GGA-PBE)

Data for a relaxed Mg3TcO crystal.

Unit cell a=5.104 b=5.104 c=5.104 alpha=90.00 beta=90.00 gamma=90.00
Atoms (fractional coordinates):
O  0.500  0.500  0.500
Tc  0.000  0.000  0.000
Mg  0.000  0.500  0.000
Mg  0.500  0.000  0.000
Mg  0.000  0.000  0.500

Formation energy (no corrections)   1.1081 eV/atom
Symmetry   Pm-3m
Energy relative to the lowest polymorph listed for this composition   8.173 eV per formula unit
VASP energy   -14.567 eV per cell
Magnetic moment   3.05 μB/f.u.

Question: magnetic moment of number 2 (Mg3TcO)?
Answer: 3.05 μB/f.u.

Question: Look up the VASP energy of the first one.
Answer: -27.603 eV per cell